A plane-wave DFT calculation with GGA-PBE was carried out for a relaxed Cs3NaPb4 crystal.

Output
As for the formation energy: -228.4 meV per atom. The magnetization comes out at 0.00 μB/f.u. The value obtained for the offset from the most stable computed form is 26.6 meV per atom.

Lattice parameters (Å, degrees): 7.541 7.358 14.190 90.00 90.00 90.00
Element x y z (fractional)
Cs1 0.540 0.000 0.000
Cs2 0.460 0.500 0.500
Cs3 0.828 0.500 0.745
Cs4 0.828 0.500 0.255
Cs5 0.172 0.000 0.755
Cs6 0.172 0.000 0.245
Na1 0.688 0.500 0.000
Na2 0.312 0.000 0.500
Pb1 0.320 0.500 0.885
Pb2 0.320 0.500 0.115
Pb3 0.051 0.269 0.000
Pb4 0.051 0.731 0.000
Pb5 0.949 0.769 0.500
Pb6 0.949 0.231 0.500
Pb7 0.680 0.000 0.385
Pb8 0.680 0.000 0.615

---

A plane-wave DFT calculation with GGA-PBE was carried out for a relaxed Mg12Cd2Pb5 crystal.

Output
As for the formation energy: 45.3 meV per atom. The magnetization comes out at 0.00 μB/f.u. The value obtained for the offset from the most stable computed form is 56.7 meV per atom.

Lattice parameters (Å, degrees): 6.574 8.976 9.667 101.23 90.00 111.48
Element x y z (fractional)
Mg1 0.069 0.138 0.253
Mg2 0.053 0.614 0.861
Mg3 0.561 0.614 0.861
Mg4 0.124 0.731 0.384
Mg5 0.607 0.731 0.384
Mg6 0.459 0.919 0.726
Mg7 0.541 0.081 0.274
Mg8 0.876 0.269 0.616
Mg9 0.393 0.269 0.616
Mg10 0.947 0.386 0.139
Mg11 0.439 0.386 0.139
Mg12 0.931 0.862 0.747
Cd1 0.752 0.000 0.000
Cd2 0.248 0.000 0.000
Pb1 0.279 0.558 0.576
Pb2 0.351 0.702 0.122
Pb3 0.000 0.000 0.500
Pb4 0.649 0.298 0.878
Pb5 0.721 0.442 0.424

---

A plane-wave DFT calculation with GGA-PBE was carried out for a relaxed La8Pb crystal.

Output
As for the formation energy: -130.9 meV per atom. The magnetization comes out at 0.00 μB/f.u. The value obtained for the offset from the most stable computed form is 0.0 meV per atom.

Lattice parameters (Å, degrees): 9.983 6.326 6.326 119.92 102.13 102.13
Element x y z (fractional)
La1 0.000 0.666 0.334
La2 0.000 0.334 0.666
La3 0.675 0.095 0.786
La4 0.676 0.473 0.473
La5 0.675 0.786 0.096
La6 0.324 0.527 0.527
La7 0.325 0.905 0.214
La8 0.325 0.214 0.904
Pb1 0.000 0.000 0.000

---

A plane-wave DFT calculation with GGA-PBE was carried out for a relaxed La2YTl crystal.

Output
As for the formation energy: -208.6 meV per atom. The magnetization comes out at 0.00 μB/f.u. The value obtained for the offset from the most stable computed form is 10.0 meV per atom.

Lattice parameters (Å, degrees): 6.308 6.308 6.308 134.58 134.51 66.24
Element x y z (fractional)
Y1 0.750 0.250 0.500
Tl1 0.250 0.750 0.500
La1 0.000 0.000 0.000
La2 0.500 0.500 0.000

---

no.,DOS(E_F) (states/eV/f.u.)
1,0.236
2,5.293
3,12.975
4,4.717